Record 1
VASP calculation (PBE-GGA) on a relaxed structure of Zr4CuC2.

Its total energy is -120.96 eV/cell. The total moment comes out at 0.0 μB per formula unit. For the formation enthalpy at 0 K, the calculation gives -0.5351 eV/atom.

Unit cell a=3.3960 b=5.8753 c=11.9120 alpha=90.00 beta=90.00 gamma=106.80
Last column: nearest neighbours and their distance in Å.
Element x y z (fractional)
Zr1 0.2354 0.4708 0.6085  3 C 2.30
C1 0.1361 0.2723 0.0604  6 Zr 2.30-2.40
Zr2 0.0674 0.1347 0.2500  2 C 2.39, 2 Cu 2.65
C2 0.1361 0.2723 0.4396  6 Zr 2.30-2.40
Zr3 0.2354 0.4708 0.8915  3 C 2.30
Zr4 0.5000 0.0000 0.5000  4 C 2.40
C3 0.8639 0.7277 0.5604  6 Zr 2.30-2.40
C4 0.8639 0.7277 0.9396  6 Zr 2.30-2.40
Zr5 0.9326 0.8653 0.7500  2 C 2.39, 2 Cu 2.65
Zr6 0.7646 0.5292 0.1085  3 C 2.30
Zr7 0.5000 0.0000 0.0000  4 C 2.40
Zr8 0.7646 0.5292 0.3915  3 C 2.30
Cu1 0.3870 0.7740 0.2500  6 Zr 2.65-2.76
Cu2 0.6130 0.2260 0.7500  6 Zr 2.65-2.76

***

Record 2
VASP calculation (PBE-GGA) on a relaxed structure of LaMgIr2.

Its total energy is -24.34 eV/cell. The total moment comes out at 0.0 μB per formula unit. For the formation enthalpy at 0 K, the calculation gives -0.0232 eV/atom.

Unit cell a=3.7388 b=3.7388 c=5.8007 alpha=90.00 beta=90.00 gamma=90.00
Last column: nearest neighbours and their distance in Å.
Element x y z (fractional)
Ir1 0.0000 0.0000 0.9678  4 Mg 2.79, 2 La 2.80-3.00
La1 0.0000 0.0000 0.4504  6 Ir 2.80-3.00
Mg1 0.5000 0.5000 0.8121  5 Ir 2.65-2.79
Ir2 0.5000 0.5000 0.2697  1 Mg 2.65, 4 La 2.84

***

Record 3
VASP calculation (PBE-GGA) on a relaxed structure of LaB3Ru3.

Its total energy is -217.72 eV/cell. The total moment comes out at 0.0 μB per formula unit. For the formation enthalpy at 0 K, the calculation gives -0.2347 eV/atom.

Unit cell a=8.3587 b=6.1160 c=8.3530 alpha=91.10 beta=72.50 gamma=91.42
Last column: nearest neighbours and their distance in Å.
Element x y z (fractional)
B1 0.9023 0.0972 0.0569  1 B 1.85
Ru1 0.8518 0.3561 0.2414  5 B 1.99-2.19
Ru2 0.3622 0.1587 0.8132  4 B 2.09-2.15
B2 0.1028 0.4947 0.2131  4 Ru 2.08-2.19
Ru3 0.1462 0.1700 0.0994  3 B 2.15-2.21
Ru4 0.7373 0.3260 0.9641  4 B 2.05-2.29
B3 0.6269 0.1858 0.7704  2 B 1.76-1.81
La1 0.0234 0.5527 0.8067  3 Ru 2.72-3.00, 3 B 2.84-3.00
Ru5 0.6599 0.7323 0.3819  4 B 2.10-2.29
B4 0.5039 0.3611 0.9370  1 B 1.81
La2 0.9422 0.0840 0.5553  5 B 2.78-3.01, 2 Ru 2.98-3.03
Ru6 0.3665 0.7894 0.6496  4 B 2.06-2.20
Ru7 0.2907 0.5583 0.9743  4 B 2.12-2.27
B5 0.5975 0.9245 0.6907  1 B 1.76
B6 0.4088 0.8533 0.3884  1 B 1.78
B7 0.3822 0.4628 0.6980  4 Ru 2.06-2.27
B8 0.7379 0.5755 0.1432  3 Ru 1.99-2.12
B9 0.2035 0.7561 0.5008  1 B 1.78
Ru8 0.6251 0.5716 0.7113  3 B 2.01-2.19
Ru9 0.2333 0.8474 0.2508  2 B 2.11-2.12
Ru10 0.9871 0.6133 0.4547  3 B 2.08-2.13
B10 0.2206 0.8836 0.9438  4 Ru 2.13-2.35
B11 0.7893 0.0174 0.2743  1 B 1.85
Ru11 0.9635 0.7841 0.1389  5 B 2.12-2.35
Ru12 0.6044 0.1527 0.5012  4 B 2.12-2.32
B12 0.7550 0.4394 0.4902  4 Ru 2.01-2.13
La3 0.5821 0.8767 0.0282  4 B 2.64-2.93, 1 Ru 2.95
La4 0.3937 0.3752 0.3224  7 B 2.95-3.26, 2 Ru 2.99-3.22

***

Record 4
VASP calculation (PBE-GGA) on a relaxed structure of ScIn2Mo.

Its total energy is -22.48 eV/cell. The total moment comes out at 0.0 μB per formula unit. The calculation puts the offset from the most stable computed form at 95 meV per atom. For the formation enthalpy at 0 K, the calculation gives 0.0390 eV/atom.

Unit cell a=5.5578 b=5.5578 c=5.5578 alpha=140.59 beta=131.51 gamma=64.19
Last column: nearest neighbours and their distance in Å.
Element x y z (fractional)
In1 0.7425 0.2425 0.5000  4 Sc 2.96, 2 Mo 2.96, 4 In 3.04-3.25
Sc1 0.2615 0.7615 0.5000  2 Mo 2.92, 8 In 2.96-3.18
Mo1 0.4988 0.4988 0.0000  2 Sc 2.92, 6 In 2.95-2.96
In2 0.9972 0.9972 0.0000  4 Mo 2.95, 4 In 3.04-3.25, 4 Sc 3.12-3.18

***

Record 5
VASP calculation (PBE-GGA) on a relaxed structure of Li2Si2Ni5Ge.

Its total energy is -103.33 eV/cell. The total moment comes out at 0.0 μB per formula unit.

Unit cell a=3.4293 b=8.4892 c=8.4892 alpha=90.00 beta=90.00 gamma=90.00
Last column: nearest neighbours and their distance in Å.
Element x y z (fractional)
Ge1 0.0000 0.5000 0.5000  8 Ni 2.51
Li1 0.0000 0.1725 0.3275  3 Si 2.44-2.55, 2 Ni 2.69
Si1 0.0000 0.3755 0.1245  6 Ni 2.27-2.29, 1 Li 2.44
Ni1 0.5000 0.2038 0.0727  2 Si 2.29, 2 Ge 2.51
Li2 0.0000 0.8275 0.6725  3 Si 2.44-2.55, 2 Ni 2.69
Ni2 0.5000 0.4273 0.2962  2 Si 2.29, 2 Ge 2.51
Ni3 0.5000 0.5727 0.7038  2 Si 2.29, 2 Ge 2.51
Li3 0.0000 0.6725 0.1725  3 Si 2.44-2.55, 2 Ni 2.69
Ni4 0.5000 0.0000 0.5000  4 Si 2.27
Si2 0.0000 0.1245 0.6245  6 Ni 2.27-2.29, 1 Li 2.44
Ni5 0.5000 0.2962 0.5727  2 Si 2.29, 2 Ge 2.51
Ni6 0.5000 0.7962 0.9273  2 Si 2.29, 2 Ge 2.51
Ni7 0.5000 0.9273 0.2038  2 Si 2.29, 2 Ge 2.51
Ge2 0.0000 0.0000 0.0000  8 Ni 2.51
Ni8 0.5000 0.0727 0.7962  2 Si 2.29, 2 Ge 2.51
Li4 0.0000 0.3275 0.8275  3 Si 2.44-2.55, 2 Ni 2.69
Si3 0.0000 0.6245 0.8755  6 Ni 2.27-2.29, 1 Li 2.44
Ni9 0.5000 0.7038 0.4273  2 Si 2.29, 2 Ge 2.51
Si4 0.0000 0.8755 0.3755  6 Ni 2.27-2.29, 1 Li 2.44
Ni10 0.5000 0.5000 0.0000  4 Si 2.27

***

Record 6
VASP calculation (PBE-GGA) on a relaxed structure of CsTlPd3.

Its total energy is -16.85 eV/cell. The total moment comes out at 0.0 μB per formula unit. The calculation puts the offset from the most stable computed form at 0 meV per atom. For the formation enthalpy at 0 K, the calculation gives 0.3892 eV/atom.

Unit cell a=5.2652 b=5.2652 c=5.2652 alpha=90.00 beta=90.00 gamma=90.00
Last column: nearest neighbours and their distance in Å.
Element x y z (fractional)
Pd1 0.0000 0.5000 0.0000  2 Tl 2.63
Pd2 0.0000 0.0000 0.5000  2 Tl 2.63
Pd3 0.5000 0.0000 0.0000  2 Tl 2.63
Tl1 0.0000 0.0000 0.0000  6 Pd 2.63
Cs1 0.5000 0.5000 0.5000  12 Pd 3.72

***

Record 7
VASP calculation (PBE-GGA) on a relaxed structure of CeDy7Tm3.

Its total energy is -99.60 eV/cell. The total moment comes out at 1.6 μB per formula unit. The calculation puts the offset from the most stable computed form at 0 meV per atom. For the formation enthalpy at 0 K, the calculation gives 0.1603 eV/atom.

Unit cell a=9.7870 b=9.7870 c=13.0368 alpha=79.37 beta=79.37 gamma=139.01
Last column: nearest neighbours and their distance in Å.
Element x y z (fractional)
Dy1 0.8797 0.5572 0.5305  4 Dy 3.32-3.51, 3 Tm 3.38-3.44, 1 Ce 3.43
Dy2 0.5564 0.8791 0.0311  4 Dy 3.32-3.51, 3 Tm 3.38-3.44, 1 Ce 3.43
Tm1 0.4999 0.9997 0.2504  6 Dy 3.38-3.43, 2 Tm 3.43
Ce1 0.5000 0.5000 0.5000  10 Dy 3.26-3.64, 2 Tm 3.43
Tm2 0.9997 0.4999 0.2504  6 Dy 3.38-3.43, 2 Tm 3.43
Dy3 0.0874 0.9111 0.7503  3 Dy 3.23-3.39, 2 Tm 3.43
Dy4 0.1209 0.4436 0.9689  4 Dy 3.32-3.51, 3 Tm 3.38-3.44, 1 Ce 3.43
Dy5 0.4436 0.1209 0.9689  4 Dy 3.32-3.51, 3 Tm 3.38-3.44, 1 Ce 3.43
Dy6 0.8791 0.5564 0.0311  4 Dy 3.32-3.51, 3 Tm 3.38-3.44, 1 Ce 3.43
Tm3 0.5001 0.0003 0.7496  6 Dy 3.38-3.43, 2 Tm 3.43
Dy7 0.4428 0.1203 0.4695  4 Dy 3.32-3.51, 3 Tm 3.38-3.44, 1 Ce 3.43
Ce2 0.5000 0.5000 0.0000  10 Dy 3.26-3.63, 2 Tm 3.43
Dy8 0.5002 0.5002 0.7499  2 Tm 3.25-3.26, 2 Ce 3.26
Dy9 0.1203 0.4428 0.4695  4 Dy 3.32-3.51, 3 Tm 3.38-3.44, 1 Ce 3.43
Dy10 0.5572 0.8797 0.5305  4 Dy 3.32-3.51, 3 Tm 3.38-3.44, 1 Ce 3.43
Dy11 0.9111 0.0874 0.7503  3 Dy 3.23-3.39, 2 Tm 3.43
Tm4 0.0000 0.0000 0.0000  10 Dy 3.26-3.64, 2 Ce 3.43
Dy12 0.4998 0.4998 0.2501  2 Tm 3.25-3.26, 2 Ce 3.26
Dy13 0.0889 0.9126 0.2497  3 Dy 3.23-3.39, 2 Tm 3.43
Dy14 0.9126 0.0889 0.2497  3 Dy 3.23-3.39, 2 Tm 3.43
Tm5 0.0003 0.5001 0.7496  6 Dy 3.38-3.43, 2 Tm 3.43
Tm6 0.0000 0.0000 0.5000  10 Dy 3.25-3.64, 2 Ce 3.43

***

Record 8
VASP calculation (PBE-GGA) on a relaxed structure of NaLiSb3.

Its total energy is -12.95 eV/cell. The total moment comes out at 0.0 μB per formula unit. The calculation puts the offset from the most stable computed form at 461 meV per atom.

Unit cell a=5.4488 b=5.4488 c=5.4488 alpha=90.00 beta=90.00 gamma=90.00
Last column: nearest neighbours and their distance in Å.
Element x y z (fractional)
Sb1 0.5000 0.0000 0.0000  2 Na 2.72
Na1 0.0000 0.0000 0.0000  6 Sb 2.72
Sb2 0.0000 0.5000 0.0000  2 Na 2.72
Sb3 0.0000 0.0000 0.5000  2 Na 2.72
Li1 0.5000 0.5000 0.5000  12 Sb 3.85

***

Record 9
VASP calculation (PBE-GGA) on a relaxed structure of RbCdAuCl6.

Its total energy is -23.89 eV/cell. The total moment comes out at 2.0 μB per formula unit.

Unit cell a=6.7722 b=6.7722 c=7.3376 alpha=90.00 beta=90.00 gamma=60.00
Last column: nearest neighbours and their distance in Å.
Element x y z (fractional)
Cl1 0.6216 0.0145 0.2993  1 Au 2.53, 1 Cd 2.66
Cl2 0.0145 0.6216 0.7006  1 Au 2.53, 1 Cd 2.66
Cl3 0.3638 0.0145 0.7006  1 Au 2.53, 1 Cd 2.66
Cl4 0.6216 0.3639 0.7006  1 Au 2.53, 1 Cd 2.66
Cl5 0.0145 0.3639 0.2994  1 Au 2.53, 1 Cd 2.66
Au1 0.3333 0.3333 0.5000  6 Cl 2.53
Cd1 0.6666 0.6667 0.5000  6 Cl 2.66
Cl6 0.3639 0.6216 0.2993  1 Au 2.53, 1 Cd 2.66
Rb1 0.0000 0.0000 0.0000  6 Cl 3.34

***

Record 10
VASP calculation (PBE-GGA) on a relaxed structure of Rb2TcPCl6.

Its total energy is -37.12 eV/cell. The total moment comes out at 1.2 μB per formula unit.

Unit cell a=7.9494 b=7.9494 c=7.2299 alpha=56.65 beta=56.65 gamma=90.00
Last column: nearest neighbours and their distance in Å.
Element x y z (fractional)
P1 0.5000 0.5000 0.0000  2 Cl 2.22
Cl1 0.2162 0.2162 0.0000  1 Tc 2.43
Rb1 0.2500 0.7500 0.5000  12 Cl 3.63-3.98
Cl2 0.2559 0.2559 0.4882  1 P 2.22, 1 Tc 2.33
Cl3 0.7838 0.2162 0.0000  1 Tc 2.43
Cl4 0.7441 0.7441 0.5118  1 P 2.22, 1 Tc 2.33
Cl5 0.2162 0.7838 0.0000  1 Tc 2.43
Rb2 0.7500 0.2500 0.5000  12 Cl 3.63-3.98
Cl6 0.7838 0.7838 0.0000  1 Tc 2.43
Tc1 0.0000 0.0000 0.0000  6 Cl 2.33-2.43

***

Record 11
VASP calculation (PBE-GGA) on a relaxed structure of YZr2FeI.

Its total energy is -29.56 eV/cell. The total moment comes out at 0.0 μB per formula unit.

Unit cell a=5.3154 b=4.6028 c=5.3154 alpha=90.00 beta=90.00 gamma=90.00
Last column: nearest neighbours and their distance in Å.
Element x y z (fractional)
Zr1 0.0000 0.0000 0.5000  2 I 2.66
Fe1 0.0000 0.5000 0.0000  2 I 2.30
Y1 0.5000 0.5000 0.5000  8 Zr 3.52, 4 Fe 3.76
I1 0.0000 0.0000 0.0000  2 Fe 2.30
Zr2 0.5000 0.0000 0.0000  2 I 2.66